HoCd2MoO6 after structural relaxation. Source: Alexandria via LeMat-Bulk, functional GGA+U.

Lattice parameters (Å, degrees): 5.637 5.700 9.932 90.00 124.44 90.00
Space group P2_1/c (No. 14)
Symmetry-distinct sites (fractional):
Ho1 0.000 0.000 0.000
Cd1 0.246 0.040 0.746
Mo1 0.500 0.000 0.500
O1 0.140 0.173 0.444
O2 0.282 0.707 0.441
O3 0.370 0.061 0.263

Calculated volume   13.16 A^3/atom
Calculated total energy   -124.3 eV/cell
Magnetization   0.10 μB/atom
Density   7.3 g/cm3